1.
This record from the Alexandria database describes crystalline Ti2InGa2 at its relaxed geometry. The functional is GGA-PBE.

The structure in CIF format:
```
data_Ti2InGa2
_space_group_name_H-M_alt 'P 4/m b m'
_space_group_IT_number 127
_space_group_name_Hall '-P 4 2ab'
_cell_length_a 6.893
_cell_length_b 6.893
_cell_length_c 3.675
_cell_angle_alpha 90.00
_cell_angle_beta 90.00
_cell_angle_gamma 90.00
loop_
_atom_site_label
_atom_site_type_symbol
_atom_site_fract_x
_atom_site_fract_y
_atom_site_fract_z
Ti1 Ti 0.174 0.326 0.000
In1 In 0.000 0.000 0.500
Ga1 Ga 0.125 0.625 0.500
```

For the relative energy among the computed polymorphs, the calculation gives 0 meV/atom. The density comes out at 6.658 g/cm3. Its formation enthalpy at 0 K is -253.5 meV per atom. As for the density of states at the Fermi level: 4.9 states/eV/f.u.

2.
This record from the Alexandria database describes crystalline GeBi2O4 at its relaxed geometry. The functional is GGA-PBE.

The structure in CIF format:
```
data_GeBi2O4
_space_group_name_H-M_alt 'C 1 m 1'
_space_group_IT_number 8
_space_group_name_Hall 'C -2y'
_cell_length_a 7.277
_cell_length_b 8.491
_cell_length_c 5.469
_cell_angle_alpha 90.00
_cell_angle_beta 131.66
_cell_angle_gamma 90.00
loop_
_atom_site_label
_atom_site_type_symbol
_atom_site_fract_x
_atom_site_fract_y
_atom_site_fract_z
Ge1 Ge 0.000 0.000 0.000
Bi1 Bi 0.478 0.251 0.459
O1 O 0.070 0.248 0.143
O2 O 0.345 0.000 0.279
O3 O 0.426 0.500 0.270
```

The density comes out at 7.295 g/cm3. Its formation energy (no corrections) is -1.114 eV/atom.

3.
This record from the Alexandria database describes crystalline Th6Co2Au at its relaxed geometry. The functional is GGA-PBE.

The structure in CIF format:
```
data_Th6Co2Au
_space_group_name_H-M_alt 'I m m m'
_space_group_IT_number 71
_space_group_name_Hall '-I 2 2'
_cell_length_a 8.976
_cell_length_b 9.689
_cell_length_c 10.696
_cell_angle_alpha 90.00
_cell_angle_beta 90.00
_cell_angle_gamma 90.00
loop_
_atom_site_label
_atom_site_type_symbol
_atom_site_fract_x
_atom_site_fract_y
_atom_site_fract_z
Th1 Th 0.000 0.195 0.233
Th2 Th 0.197 0.500 0.169
Th3 Th 0.203 0.316 0.500
Co1 Co 0.000 0.357 0.000
Co2 Co 0.000 0.500 0.373
Au1 Au 0.000 0.000 0.000
Au2 Au 0.000 0.000 0.500
```

The density comes out at 12.188 g/cm3. Its formation enthalpy at 0 K is -219.5 meV per atom. As for the density of states at the Fermi level: 12.4 states/eV/f.u.